Entry 1:
{
  "formula": "K2HfPt2",
  "functional": "PBE-GGA",
  "state": "optimized geometry",
  "lattice_angstrom": [[6.841, 0.000, 0.000], [0.000, 6.841, 0.000], [0.000, 0.000, 5.676]],
  "species": ["K", "K", "K", "K", "Hf", "Hf", "Pt", "Pt", "Pt", "Pt"],
  "fractional_positions": [[0.170, 0.670, 0.500], [0.670, 0.830, 0.500], [0.830, 0.330, 0.500], [0.330, 0.170, 0.500], [0.000, 0.000, 0.000], [0.500, 0.500, 0.000], [0.365, 0.865, 0.000], [0.865, 0.635, 0.000], [0.635, 0.135, 0.000], [0.135, 0.365, 0.000]],
  "delta_e_f_ev_per_atom": -0.12,
  "vol_a3_per_atom": 26.57,
  "e_above_lowest_polymorph_ev_per_fu": 0.00,
  "sg": "P4/mbm"
}

Entry 2:
{
  "formula": "TaMoI2Br",
  "functional": "PBE-GGA",
  "state": "optimized geometry",
  "lattice_angstrom": [[-0.797, 0.751, 5.606], [4.617, -1.824, 0.901], [2.161, 5.272, -0.399]],
  "species": ["I", "I", "Mo", "Br", "Ta"],
  "fractional_positions": [[0.000, 0.000, 0.500], [0.500, 0.000, 0.000], [0.500, 0.500, 0.500], [0.000, 0.500, 0.000], [0.000, 0.000, 0.000]],
  "vol_a3_per_atom": 32.92,
  "sg": "P4/mmm",
  "raw_formation_energy_ev_per_atom": 1.02
}

Entry 3:
{
  "formula": "UZnInIr",
  "functional": "PBE-GGA",
  "state": "optimized geometry",
  "lattice_angstrom": [[-3.380, 1.404, -3.086], [-3.541, -2.991, -1.196], [-4.455, 0.827, 1.543]],
  "species": ["Zn", "Ir", "U", "In"],
  "fractional_positions": [[0.500, 0.500, 0.500], [0.000, 0.000, 0.000], [0.750, 0.750, 0.750], [0.250, 0.250, 0.250]],
  "delta_e_f_ev_per_atom": -0.10,
  "vol_a3_per_atom": 19.39,
  "sg": "F-43m"
}